[1]
Density functional theory data (PBE) for a geometry-optimized SrCrSi2P structure.

Properties
Uncorrected energy: -5.0490 eV/atom
Formation energy without anion corrections: 0.4633 eV per atom

Cell: 4.5375 4.5375 5.8694 Å, 90.00 90.00 90.00°
Closest atoms and distances in Å follow each position.
Space group P4/mmm (No. 123)
Inequivalent atoms, fractional coordinates:
1 Sr 0.0000 0.0000 0.0000 (multiplicity 1)  2 Cr 2.93, 4 P 3.21
2 Cr 0.0000 0.0000 0.5000 (multiplicity 1)  4 Si 2.27
3 Si 0.0000 0.5000 0.5000 (multiplicity 2)  2 Cr 2.27
4 P 0.5000 0.5000 0.0000 (multiplicity 1)  4 Sr 3.21

[2]
Density functional theory data (PBE) for a geometry-optimized CsPu2I4 structure.

Properties
Uncorrected energy: -6.0794 eV/atom
Formation energy without anion corrections: -0.9768 eV per atom

Cell: 4.7642 14.9668 16.2678 Å, 90.00 90.00 90.00°
Closest atoms and distances in Å follow each position.
Space group Cmcm (No. 63)
Inequivalent atoms, fractional coordinates:
1 Cs 0.0000 0.1074 0.2500 (multiplicity 4)  6 I 3.73-3.81
2 Pu 0.0000 0.3705 0.0557 (multiplicity 8)  6 I 3.17-3.24
3 I 0.0000 0.0000 0.0000 (multiplicity 4)  4 Pu 3.20
4 I 0.0000 0.2626 0.6117 (multiplicity 8)  3 Pu 3.17-3.24
5 I 0.0000 0.4158 0.2500 (multiplicity 4)  2 Pu 3.23

[3]
Density functional theory data (PBE) for a geometry-optimized ScHgPt2I structure.

Properties
Uncorrected energy: -3.1862 eV/atom
Formation energy without anion corrections: 0.8668 eV per atom

Cell: 4.9676 4.9676 5.7338 Å, 90.00 90.00 90.00°
Closest atoms and distances in Å follow each position.
Space group P4/mmm (No. 123)
Inequivalent atoms, fractional coordinates:
1 Sc 0.0000 0.0000 0.0000 (multiplicity 1)  4 Hg 3.51, 8 Pt 3.79
2 Hg 0.5000 0.5000 0.0000 (multiplicity 1)  2 I 2.87
3 Pt 0.0000 0.5000 0.5000 (multiplicity 2)  2 I 2.48
4 I 0.5000 0.5000 0.5000 (multiplicity 1)  4 Pt 2.48

[4]
Density functional theory data (PBE) for a geometry-optimized HfFe2ReC structure.

Properties
Uncorrected energy: -9.8658 eV/atom
E_form: -0.16 eV per atom

Cell: 3.8900 3.8900 4.0923 Å, 90.00 90.00 90.00°
Closest atoms and distances in Å follow each position.
Space group P4/mmm (No. 123)
Inequivalent atoms, fractional coordinates:
1 Hf 0.0000 0.0000 0.0000 (multiplicity 1)  4 Re 2.75, 8 Fe 2.82
2 Fe 0.0000 0.5000 0.5000 (multiplicity 2)  2 C 1.95
3 Re 0.5000 0.5000 0.0000 (multiplicity 1)  2 C 2.05
4 C 0.5000 0.5000 0.5000 (multiplicity 1)  4 Fe 1.95, 2 Re 2.05

[5]
Density functional theory data (PBE) for a geometry-optimized LaGdTmSc structure.

Properties
Uncorrected energy: -7.3715 eV/atom
E_form: 0.08 eV per atom

Cell: 7.9239 7.9239 7.9239 Å, 90.00 90.00 90.00°
Closest atoms and distances in Å follow each position.
Space group F-43m (No. 216)
Inequivalent atoms, fractional coordinates:
1 La 0.0000 0.0000 0.0000 (multiplicity 4)  4 Sc 3.43, 4 Tm 3.43
2 Gd 0.0000 0.0000 0.5000 (multiplicity 4)  4 Tm 3.43, 4 Sc 3.43
3 Tm 0.2500 0.2500 0.7500 (multiplicity 4)  4 Gd 3.43, 4 La 3.43
4 Sc 0.2500 0.2500 0.2500 (multiplicity 4)  4 Gd 3.43, 4 La 3.43

[6]
Density functional theory data (PBE) for a geometry-optimized BaCuC3 structure.

Properties
Uncorrected energy: -2.8859 eV/atom
E_form: 3.85 eV per atom

Cell: 4.7233 4.7233 4.7233 Å, 90.00 90.00 90.00°
Closest atoms and distances in Å follow each position.
Space group Pm-3m (No. 221)
Inequivalent atoms, fractional coordinates:
1 Ba 0.0000 0.0000 0.0000 (multiplicity 1)  6 C 2.36
2 Cu 0.5000 0.5000 0.5000 (multiplicity 1)  12 C 3.34
3 C 0.0000 0.0000 0.5000 (multiplicity 3)  2 Ba 2.36

[7]
Density functional theory data (PBE) for a geometry-optimized NaPdAuSCl structure.

Properties
Uncorrected energy: -3.7574 eV/atom
Formation energy without anion corrections: -0.6048 eV per atom

Cell: 4.0624 4.0624 8.1773 Å, 90.00 90.00 120.00°
Closest atoms and distances in Å follow each position.
Space group P3m1 (No. 156)
Inequivalent atoms, fractional coordinates:
1 Na 0.0000 0.0000 0.0000 (multiplicity 1)  3 Cl 2.75
2 Pd 0.3333 0.6667 0.2902 (multiplicity 1)  3 S 2.36
3 Au 0.6667 0.3333 0.5359 (multiplicity 1)  1 S 2.30, 1 Cl 2.36
4 S 0.6667 0.3333 0.2540 (multiplicity 1)  1 Au 2.30, 3 Pd 2.36
5 Cl 0.6667 0.3333 0.8247 (multiplicity 1)  1 Au 2.36

[8]
Density functional theory data (PBE) for a geometry-optimized LaHBr2Cl structure.

Properties
Uncorrected energy: -3.5029 eV/atom

Cell: 4.5491 4.5491 5.0913 Å, 90.00 90.00 90.00°
Closest atoms and distances in Å follow each position.
Space group P4/mmm (No. 123)
Inequivalent atoms, fractional coordinates:
1 La 0.0000 0.0000 0.0000 (multiplicity 1)  4 Cl 3.22, 8 Br 3.41
2 H 0.5000 0.5000 0.5000 (multiplicity 1)  4 Br 2.27, 2 Cl 2.55
3 Br 0.0000 0.5000 0.5000 (multiplicity 2)  2 H 2.27
4 Cl 0.5000 0.5000 0.0000 (multiplicity 1)  2 H 2.55